Li6Hg2Sb3 | PBE | relaxed

a b c (Å): 5.0646 5.0646 10.8756
angles (deg): 103.46 103.46 90.00
Last column: nearest neighbours and their distance in Å.
Fractional positions:
Sb: 0.1592 0.1592 0.3183  5 Li 2.79-2.80
Sb: 0.0000 0.0000 0.0000  2 Sb 3.27, 8 Li 3.27
Sb: 0.8408 0.8408 0.6817  5 Li 2.79-2.80
Li: 0.3989 0.8989 0.7978  2 Hg 2.61, 2 Sb 2.80
Li: 0.6011 0.1011 0.2022  2 Hg 2.61, 2 Sb 2.80
Li: 0.8989 0.3989 0.7978  2 Hg 2.61, 2 Sb 2.80
Li: 0.7051 0.7051 0.4102  1 Hg 2.78, 1 Sb 2.79
Li: 0.1011 0.6011 0.2022  2 Hg 2.61, 2 Sb 2.80
Li: 0.2949 0.2949 0.5898  1 Hg 2.78, 1 Sb 2.79
Hg: 0.4304 0.4304 0.8607  5 Li 2.61-2.78, 1 Hg 2.86
Hg: 0.5696 0.5696 0.1393  5 Li 2.61-2.78, 1 Hg 2.86

Values from the calculation:
**Symmetry**: No. 139
**E**: -27.5 eV/cell
**Energy relative to the elements, uncorrected**: -0.272 eV per atom

=====

RbSnF3 | PBE | relaxed

a b c (Å): 5.1859 5.1859 5.1859
angles (deg): 93.85 93.85 93.85
Last column: nearest neighbours and their distance in Å.
Fractional positions:
F: 0.6784 0.0540 0.6784  1 Sn 2.06
F: 0.0540 0.6784 0.6784  1 Sn 2.06
F: 0.6784 0.6784 0.0540  1 Sn 2.06
Rb: 0.5116 0.5116 0.5116  6 F 2.75-2.94
Sn: 0.9527 0.9527 0.9527  3 F 2.06

Values from the calculation:
**Symmetry**: No. 160
**E**: -23.1 eV/cell
**Energy relative to the elements, uncorrected**: -2.495 eV per atom

=====

Ho5MgTl6 | PBE | relaxed

a b c (Å): 5.2311 9.2253 9.2253
angles (deg): 119.52 106.51 106.51
Last column: nearest neighbours and their distance in Å.
Fractional positions:
Ho: 0.0000 0.6700 0.3300  8 Tl 3.25-3.31
Ho: 0.5000 0.1571 0.8429  8 Tl 3.17-3.42
Ho: 0.5000 0.8429 0.1571  8 Tl 3.17-3.42
Ho: 0.0000 0.3300 0.6700  8 Tl 3.25-3.31
Ho: 0.5000 0.5000 0.5000  8 Tl 3.23-3.26
Tl: 0.2491 0.4151 0.0844  7 Ho 3.24-3.42, 1 Mg 3.26
Tl: 0.2473 0.7475 0.7475  6 Ho 3.17-3.31, 2 Mg 3.25-3.26
Tl: 0.7509 0.9156 0.5849  7 Ho 3.24-3.42, 1 Mg 3.26
Tl: 0.2491 0.0844 0.4151  7 Ho 3.24-3.42, 1 Mg 3.26
Tl: 0.7509 0.5849 0.9156  7 Ho 3.24-3.42, 1 Mg 3.26
Tl: 0.7527 0.2525 0.2525  6 Ho 3.17-3.31, 2 Mg 3.25-3.26
Mg: 0.0000 0.0000 0.0000  8 Tl 3.25-3.26, 4 Ho 3.62

Values from the calculation:
**Symmetry**: No. 12
**Energy relative to the elements**: -287 meV per atom
**E**: -42.1 eV/cell

=====

BaNa2ZnAg | PBE | relaxed

a b c (Å): 5.6114 5.6114 5.1822
angles (deg): 90.00 90.00 90.00
Last column: nearest neighbours and their distance in Å.
Fractional positions:
Na: 0.0000 0.5000 0.0000  2 Ag 2.81
Na: 0.5000 0.0000 0.0000  2 Ag 2.81
Ag: 0.0000 0.0000 0.0000  2 Zn 2.59, 4 Na 2.81
Zn: 0.0000 0.0000 0.5000  2 Ag 2.59
Ba: 0.5000 0.5000 0.5000  8 Na 3.82, 4 Zn 3.97

Values from the calculation:
**Symmetry**: No. 123
**Energy relative to the elements**: 40 meV per atom
**E**: -8.5 eV/cell
**E above lowest polymorph**: 0.0 kJ per mole of atoms

=====

Er4CSeS2 | PBE | relaxed

a b c (Å): 3.7957 6.6307 6.8023
angles (deg): 71.02 90.00 90.00
Last column: nearest neighbours and their distance in Å.
Fractional positions:
C: 0.0000 0.5000 0.5000  6 Er 2.49-2.55
S: 0.0000 0.0000 0.0000  6 Er 2.91-2.98
S: 0.5000 0.0000 0.5000  6 Er 2.67-2.70
Er: 0.0000 0.2622 0.2825  1 C 2.49, 2 S 2.67
Er: 0.5000 0.7214 0.2861  2 C 2.55, 1 S 2.70, 1 Se 2.79
Er: 0.5000 0.2786 0.7139  2 C 2.55, 1 S 2.70, 1 Se 2.79
Er: 0.0000 0.7378 0.7175  1 C 2.49, 2 S 2.67
Se: 0.5000 0.5000 0.0000  6 Er 2.79

Values from the calculation:
**Symmetry**: No. 10
**E**: -51.9 eV/cell
**Energy relative to the elements, uncorrected**: -1.584 eV per atom

=====

Ca3Sm5H12 | PBE | relaxed

a b c (Å): 11.8519 11.8519 11.8519
angles (deg): 109.47 109.47 109.47
Last column: nearest neighbours and their distance in Å.
Fractional positions:
H: 0.6599 0.4482 0.6060  2 Sm 2.23-2.29, 1 Ca 2.25
H: 0.8422 0.2883 0.4482  2 Sm 2.23-2.29, 1 Ca 2.25
H: 0.5518 0.2117 0.1578  2 Sm 2.23-2.29, 1 Ca 2.25
H: 0.0518 0.6578 0.7117  2 Sm 2.23-2.29, 1 Ca 2.25
H: 0.5518 0.3401 0.8940  2 Sm 2.23-2.29, 1 Ca 2.25
H: 0.3401 0.5518 0.3940  2 Sm 2.23-2.29, 1 Ca 2.25
H: 0.6060 0.6578 0.4461  2 Sm 2.23-2.29, 1 Ca 2.25
H: 0.6060 0.9482 0.6599  2 Sm 2.23-2.29, 1 Ca 2.25
H: 0.7883 0.4482 0.3422  2 Sm 2.23-2.29, 1 Ca 2.25
H: 0.8401 0.8940 0.0518  2 Sm 2.23-2.29, 1 Ca 2.25
H: 0.1599 0.0539 0.7117  2 Sm 2.23-2.29, 1 Ca 2.25
H: 0.7117 0.1578 0.0518  2 Sm 2.23-2.29, 1 Ca 2.25
H: 0.3422 0.9482 0.7883  2 Sm 2.23-2.29, 1 Ca 2.25
H: 0.5539 0.8422 0.3940  2 Sm 2.23-2.29, 1 Ca 2.25
H: 0.4461 0.2883 0.3401  2 Sm 2.23-2.29, 1 Ca 2.25
H: 0.9461 0.8401 0.7883  2 Sm 2.23-2.29, 1 Ca 2.25
H: 0.1578 0.7117 0.5518  2 Sm 2.23-2.29, 1 Ca 2.25
H: 0.8401 0.9461 0.2883  2 Sm 2.23-2.29, 1 Ca 2.25
H: 0.0539 0.1599 0.2117  2 Sm 2.23-2.29, 1 Ca 2.25
H: 0.8940 0.0539 0.8422  2 Sm 2.23-2.29, 1 Ca 2.25
H: 0.1060 0.9461 0.1578  2 Sm 2.23-2.29, 1 Ca 2.25
H: 0.5539 0.7117 0.6599  2 Sm 2.23-2.29, 1 Ca 2.25
H: 0.7883 0.3401 0.9461  2 Sm 2.23-2.29, 1 Ca 2.25
H: 0.8940 0.8401 0.5518  2 Sm 2.23-2.29, 1 Ca 2.25
H: 0.4482 0.6599 0.1060  2 Sm 2.23-2.29, 1 Ca 2.25
H: 0.1578 0.4461 0.1060  2 Sm 2.23-2.29, 1 Ca 2.25
H: 0.9482 0.3422 0.2883  2 Sm 2.23-2.29, 1 Ca 2.25
H: 0.8422 0.5539 0.8940  2 Sm 2.23-2.29, 1 Ca 2.25
H: 0.2883 0.8422 0.9482  2 Sm 2.23-2.29, 1 Ca 2.25
H: 0.6578 0.6060 0.9461  2 Sm 2.23-2.29, 1 Ca 2.25
H: 0.6599 0.2117 0.5539  2 Sm 2.23-2.29, 1 Ca 2.25
H: 0.6578 0.0518 0.2117  2 Sm 2.23-2.29, 1 Ca 2.25
H: 0.3401 0.7883 0.4461  2 Sm 2.23-2.29, 1 Ca 2.25
H: 0.2883 0.4461 0.8401  2 Sm 2.23-2.29, 1 Ca 2.25
H: 0.4461 0.1578 0.6060  2 Sm 2.23-2.29, 1 Ca 2.25
H: 0.9482 0.6060 0.1599  2 Sm 2.23-2.29, 1 Ca 2.25
H: 0.7117 0.5539 0.1599  2 Sm 2.23-2.29, 1 Ca 2.25
H: 0.3422 0.3940 0.0539  2 Sm 2.23-2.29, 1 Ca 2.25
H: 0.0518 0.3940 0.8401  2 Sm 2.23-2.29, 1 Ca 2.25
H: 0.1060 0.1599 0.4482  2 Sm 2.23-2.29, 1 Ca 2.25
H: 0.4482 0.7883 0.8422  2 Sm 2.23-2.29, 1 Ca 2.25
H: 0.0539 0.8940 0.3422  2 Sm 2.23-2.29, 1 Ca 2.25
H: 0.3940 0.0518 0.3401  2 Sm 2.23-2.29, 1 Ca 2.25
H: 0.2117 0.6599 0.0539  2 Sm 2.23-2.29, 1 Ca 2.25
H: 0.1599 0.1060 0.9482  2 Sm 2.23-2.29, 1 Ca 2.25
H: 0.3940 0.3422 0.5539  2 Sm 2.23-2.29, 1 Ca 2.25
H: 0.9461 0.1060 0.6578  2 Sm 2.23-2.29, 1 Ca 2.25
H: 0.2117 0.5518 0.6578  2 Sm 2.23-2.29, 1 Ca 2.25
Sm: 0.6250 0.8750 0.2500  4 H 2.23
Sm: 0.6250 0.7500 0.8750  4 H 2.23
Sm: 0.8750 0.2500 0.6250  4 H 2.23
Sm: 0.2500 0.8750 0.1250  4 H 2.23
Sm: 0.0000 0.0000 0.0000  6 H 2.29
Sm: 0.3750 0.1250 0.7500  4 H 2.23
Sm: 0.2500 0.3750 0.6250  4 H 2.23
Sm: 0.7500 0.1250 0.8750  4 H 2.23
Sm: 0.5000 0.0000 0.5000  6 H 2.29
Sm: 0.7500 0.6250 0.3750  4 H 2.23
Sm: 0.3750 0.2500 0.1250  4 H 2.23
Sm: 0.0000 0.0000 0.5000  6 H 2.29
Sm: 0.5000 0.5000 0.0000  6 H 2.29
Sm: 0.5000 0.5000 0.5000  6 H 2.29
Sm: 0.1250 0.7500 0.3750  4 H 2.23
Sm: 0.0000 0.5000 0.0000  6 H 2.29
Sm: 0.5000 0.0000 0.0000  6 H 2.29
Sm: 0.0000 0.5000 0.5000  6 H 2.29
Sm: 0.1250 0.3750 0.2500  4 H 2.23
Sm: 0.8750 0.6250 0.7500  4 H 2.23
Ca: 0.3750 0.6250 0.2500  4 H 2.25
Ca: 0.8750 0.7500 0.1250  4 H 2.25
Ca: 0.1250 0.2500 0.8750  4 H 2.25
Ca: 0.7500 0.8750 0.6250  4 H 2.25
Ca: 0.1250 0.8750 0.7500  4 H 2.25
Ca: 0.7500 0.3750 0.1250  4 H 2.25
Ca: 0.8750 0.1250 0.2500  4 H 2.25
Ca: 0.2500 0.1250 0.3750  4 H 2.25
Ca: 0.6250 0.3750 0.7500  4 H 2.25
Ca: 0.3750 0.7500 0.6250  4 H 2.25
Ca: 0.6250 0.2500 0.3750  4 H 2.25
Ca: 0.2500 0.6250 0.8750  4 H 2.25

Values from the calculation:
**Symmetry**: No. 230
**E**: -310.9 eV/cell

=====

RbTcI4 | PBE | relaxed

a b c (Å): 6.9100 7.6692 12.6564
angles (deg): 107.64 106.17 90.00
Last column: nearest neighbours and their distance in Å.
Fractional positions:
I: 0.4234 0.2030 0.8498  2 Tc 2.77
I: 0.7227 0.2235 0.4470  4 Rb 3.64-3.84, 2 I 4.03
I: 0.0000 0.2845 0.0000  2 Tc 2.70
I: 0.2773 0.7765 0.5530  4 Rb 3.64-3.84, 2 I 4.03
I: 0.5766 0.7970 0.1502  2 Tc 2.77
I: 0.5766 0.3533 0.1502  2 Tc 2.77
I: 0.0000 0.7155 0.0000  2 Tc 2.70
I: 0.4234 0.6467 0.8498  2 Tc 2.77
Rb: 0.2729 0.2726 0.5453  6 I 3.64-3.90
Rb: 0.7271 0.7274 0.4547  6 I 3.64-3.90
Tc: 0.3083 0.5000 0.0000  1 Tc 2.65, 6 I 2.70-2.77
Tc: 0.6917 0.5000 0.0000  1 Tc 2.65, 6 I 2.70-2.77

Values from the calculation:
**Symmetry**: No. 12
**E**: -40.0 eV/cell
**Energy relative to the elements, uncorrected**: -0.411 eV per atom

=====

BeHgW | PBE | relaxed

a b c (Å): 5.6651 5.6651 5.6651
angles (deg): 151.72 148.00 43.22
Last column: nearest neighbours and their distance in Å.
Fractional positions:
W: 0.6415 0.6415 0.0000  4 Be 2.51, 2 W 2.77
Hg: 0.3489 0.3489 0.0000  4 Be 2.69, 2 Hg 2.77
Be: 0.0096 0.0096 0.0000  4 W 2.51, 4 Hg 2.69, 2 Be 2.77

Values from the calculation:
**Symmetry**: No. 44
**Energy relative to the elements**: 617 meV per atom
**E**: -15.1 eV/cell
**E above lowest polymorph**: 3.7 kJ per mole of atoms

=====

LiSiC2 | PBE | relaxed

a b c (Å): 4.0294 4.0294 6.3110
angles (deg): 71.38 71.38 90.00
Last column: nearest neighbours and their distance in Å.
Fractional positions:
Li: 0.2500 0.7500 0.5000  4 C 2.29
Li: 0.5000 0.5000 0.0000  4 C 2.29
Si: 0.0000 0.0000 0.0000  4 C 1.80
Si: 0.7500 0.2500 0.5000  4 C 1.80
C: 0.8750 0.9981 0.7500  2 Si 1.80
C: 0.0019 0.6250 0.2500  2 Si 1.80
C: 0.7481 0.1250 0.2500  2 Si 1.80
C: 0.3750 0.2519 0.7500  2 Si 1.80

Values from the calculation:
**Symmetry**: No. 122
**E**: -45.1 eV/cell
**Energy relative to the elements, uncorrected**: 0.803 eV per atom

=====

Ca4Ta2O9 | PBE | relaxed

a b c (Å): 5.6708 5.6708 14.9141
angles (deg): 90.00 90.00 120.00
Last column: nearest neighbours and their distance in Å.
Fractional positions:
Ca: 0.3333 0.6667 0.3052  6 O 2.28-2.41
Ca: 0.6667 0.3333 0.6948  6 O 2.28-2.41
Ca: 0.6667 0.3333 0.1948  6 O 2.28-2.41
Ca: 0.6667 0.3333 0.9752  6 O 2.35-2.49
Ca: 0.3333 0.6667 0.5248  6 O 2.35-2.49
Ca: 0.3333 0.6667 0.0248  6 O 2.35-2.49
Ca: 0.3333 0.6667 0.8052  6 O 2.28-2.41
Ca: 0.6667 0.3333 0.4752  6 O 2.35-2.49
O: 0.2621 0.0000 0.2500  2 Ta 2.14, 2 Ca 2.28
O: 0.0000 0.2621 0.2500  2 Ta 2.14, 2 Ca 2.28
O: 0.0391 0.3229 0.9107  1 Ta 1.93
O: 0.0000 0.7379 0.7500  2 Ta 2.14, 2 Ca 2.28
O: 0.7162 0.6771 0.5893  1 Ta 1.93
O: 0.9609 0.2838 0.5893  1 Ta 1.93
O: 0.3229 0.2838 0.0893  1 Ta 1.93
O: 0.7379 0.0000 0.7500  2 Ta 2.14, 2 Ca 2.28
O: 0.2621 0.2621 0.7500  2 Ta 2.14, 2 Ca 2.28
O: 0.2838 0.3229 0.4107  1 Ta 1.93
O: 0.6771 0.7162 0.9107  1 Ta 1.93
O: 0.3229 0.0391 0.5893  1 Ta 1.93
O: 0.0391 0.7162 0.4107  1 Ta 1.93
O: 0.9609 0.6771 0.0893  1 Ta 1.93
O: 0.7162 0.0391 0.0893  1 Ta 1.93
O: 0.6771 0.9609 0.4107  1 Ta 1.93
O: 0.2838 0.9609 0.9107  1 Ta 1.93
O: 0.7379 0.7379 0.2500  2 Ta 2.14, 2 Ca 2.28
Ta: 0.0000 0.0000 0.8532  6 O 1.93-2.14
Ta: 0.0000 0.0000 0.6468  6 O 1.93-2.14
Ta: 0.0000 0.0000 0.3532  6 O 1.93-2.14
Ta: 0.0000 0.0000 0.1468  6 O 1.93-2.14

Values from the calculation:
**Symmetry**: No. 165
**E**: -244.6 eV/cell
**Energy relative to the elements, uncorrected**: -3.065 eV per atom
**E above lowest polymorph**: 0.4 kJ per mole of atoms

=====

NpVRe | PBE | relaxed

a b c (Å): 3.0317 3.0317 5.9461
angles (deg): 104.77 104.77 90.00
Last column: nearest neighbours and their distance in Å.
Fractional positions:
V: 0.6872 0.6872 0.3743  4 Re 2.56
Re: 0.3134 0.3134 0.6267  4 V 2.56
Np: 0.9995 0.9995 0.9990  4 Re 2.98, 4 V 2.99, 4 Np 3.03

Values from the calculation:
**Symmetry**: No. 107
**Energy relative to the elements**: 209 meV per atom
**E**: -33.9 eV/cell
**E above lowest polymorph**: 6.1 kJ per mole of atoms

=====

Mg2Zn5Ni2Rh | PBE | relaxed

a b c (Å): 3.8807 8.6909 8.6909
angles (deg): 90.00 90.00 90.00
Last column: nearest neighbours and their distance in Å.
Fractional positions:
Mg: 0.0000 0.8231 0.6769  3 Ni 2.53-2.61
Mg: 0.0000 0.1769 0.3231  3 Ni 2.53-2.61
Mg: 0.0000 0.3231 0.8231  3 Ni 2.53-2.61
Mg: 0.0000 0.6769 0.1769  3 Ni 2.53-2.61
Ni: 0.0000 0.3826 0.1174  6 Zn 2.42-2.53, 3 Mg 2.53-2.61
Ni: 0.0000 0.6174 0.8826  6 Zn 2.42-2.53, 3 Mg 2.53-2.61
Ni: 0.0000 0.1174 0.6174  6 Zn 2.42-2.53, 3 Mg 2.53-2.61
Ni: 0.0000 0.8826 0.3826  6 Zn 2.42-2.53, 3 Mg 2.53-2.61
Zn: 0.5000 0.7976 0.9310  2 Ni 2.53, 4 Zn 2.63-2.81, 2 Rh 2.69
Zn: 0.5000 0.0690 0.7976  2 Ni 2.53, 4 Zn 2.63-2.81, 2 Rh 2.69
Zn: 0.5000 0.5690 0.7024  2 Ni 2.53, 4 Zn 2.63-2.81, 2 Rh 2.69
Zn: 0.5000 0.4310 0.2976  2 Ni 2.53, 4 Zn 2.63-2.81, 2 Rh 2.69
Zn: 0.5000 0.0000 0.5000  4 Ni 2.42, 4 Zn 2.65
Zn: 0.5000 0.7024 0.4310  2 Ni 2.53, 4 Zn 2.63-2.81, 2 Rh 2.69
Zn: 0.5000 0.9310 0.2024  2 Ni 2.53, 4 Zn 2.63-2.81, 2 Rh 2.69
Zn: 0.5000 0.2024 0.0690  2 Ni 2.53, 4 Zn 2.63-2.81, 2 Rh 2.69
Zn: 0.5000 0.5000 0.0000  4 Ni 2.42, 4 Zn 2.65
Zn: 0.5000 0.2976 0.5690  2 Ni 2.53, 4 Zn 2.63-2.81, 2 Rh 2.69
Rh: 0.0000 0.5000 0.5000  8 Zn 2.69
Rh: 0.0000 0.0000 0.0000  8 Zn 2.69

Values from the calculation:
**Symmetry**: No. 127
**Energy relative to the elements**: -274 meV per atom
**E**: -62.4 eV/cell

=====

Results for calculated volume: 23.95, 27.70, 26.65, 32.64, 20.24, 16.02, 50.94, 15.17, 11.43, 13.85, 16.99, 14.66 (in Å³ per atom, following the order of the records).
Results for calculated density: 5.094, 3.132, 10.775, 3.629, 8.453, 4.582, 3.755, 14.352, 2.145, 5.327, 15.445, 6.752 (in g cm⁻³, following the order of the records).